(1)
PrYPdPt: optimized geometry, PBE.

Computed properties:
SG: Amm2
E above lowest polymorph: 0.00 kcal/mol of atoms
ΔE_f: -1.02 eV/atom
VASP energy: -26.5 eV per formula unit
N(E_F): 2.53 states/eV per cell

Unit cell a=3.859 b=4.558 c=5.738 alpha=90.00 beta=109.65 gamma=90.00
Element x y z (fractional)
Pr  0.139  0.000  0.277
Y  0.864  0.500  0.729
Pd  0.585  0.500  0.169
Pt  0.413  0.000  0.825

(2)
PrYPdPt: optimized geometry, PBE.

Computed properties:
SG: F-43m
E above lowest polymorph: 1.73 kcal/mol of atoms
ΔE_f: -0.94 eV/atom
VASP energy: -26.2 eV per formula unit
N(E_F): 3.88 states/eV per cell

Unit cell a=5.061 b=5.061 c=5.061 alpha=60.00 beta=60.00 gamma=60.00
Element x y z (fractional)
Pr  0.000  0.000  0.000
Y  0.500  0.500  0.500
Pd  0.250  0.250  0.250
Pt  0.750  0.750  0.750

(3)
PrZn5PdPt2: optimized geometry, PBE.

Computed properties:
SG: P4/mmm
ΔE_f: -0.30 eV/atom
VASP energy: -31.1 eV per formula unit
N(E_F): 4.39 states/eV per cell

Unit cell a=4.856 b=4.856 c=7.428 alpha=90.00 beta=90.00 gamma=90.00
Element x y z (fractional)
Pr  0.000  0.000  0.500
Zn  0.000  0.500  0.186
Zn  0.500  0.000  0.186
Zn  0.000  0.500  0.814
Zn  0.500  0.000  0.814
Zn  0.500  0.500  0.500
Pd  0.000  0.000  0.000
Pt  0.500  0.500  0.180
Pt  0.500  0.500  0.820

(4)
Pr2Zn2PdPt5: optimized geometry, PBE.

Computed properties:
SG: P4/mbm
ΔE_f: -0.72 eV/atom
VASP energy: -54.7 eV per formula unit
N(E_F): 7.53 states/eV per cell

Unit cell a=3.928 b=9.646 c=9.646 alpha=90.00 beta=90.00 gamma=90.00
Element x y z (fractional)
Pr  0.000  0.681  0.181
Pr  0.000  0.319  0.819
Pr  0.000  0.181  0.319
Pr  0.000  0.819  0.681
Zn  0.000  0.118  0.618
Zn  0.000  0.882  0.382
Zn  0.000  0.618  0.882
Zn  0.000  0.382  0.118
Pd  0.000  0.000  0.000
Pd  0.000  0.500  0.500
Pt  0.500  0.206  0.062
Pt  0.500  0.794  0.938
Pt  0.500  0.062  0.794
Pt  0.500  0.706  0.438
Pt  0.500  0.938  0.206
Pt  0.500  0.294  0.562
Pt  0.500  0.562  0.706
Pt  0.500  0.438  0.294
Pt  0.500  0.500  0.000
Pt  0.500  0.000  0.500

(5)
Pr2Zn3PdPt4: optimized geometry, PBE.

Computed properties:
SG: P-4m2
ΔE_f: -0.75 eV/atom
VASP energy: -50.3 eV per formula unit
N(E_F): 4.31 states/eV per cell

Unit cell a=4.110 b=4.110 c=11.459 alpha=90.00 beta=90.00 gamma=90.00
Element x y z (fractional)
Pr  0.500  0.000  0.249
Pr  0.000  0.500  0.751
Zn  0.000  0.000  0.500
Zn  0.500  0.000  0.869
Zn  0.000  0.500  0.131
Pd  0.500  0.500  0.500
Pt  0.500  0.500  0.000
Pt  0.000  0.000  0.000
Pt  0.500  0.000  0.652
Pt  0.000  0.500  0.348

(6)
Pr2ZnPd2Pt5: optimized geometry, PBE.

Computed properties:
SG: P4/mbm
ΔE_f: -0.70 eV/atom
VASP energy: -58.4 eV per formula unit
N(E_F): 11.16 states/eV per cell

Unit cell a=4.141 b=9.547 c=9.547 alpha=90.00 beta=90.00 gamma=90.00
Element x y z (fractional)
Pr  0.000  0.674  0.174
Pr  0.000  0.326  0.826
Pr  0.000  0.174  0.326
Pr  0.000  0.826  0.674
Zn  0.000  0.000  0.000
Zn  0.000  0.500  0.500
Pd  0.000  0.126  0.626
Pd  0.000  0.874  0.374
Pd  0.000  0.626  0.874
Pd  0.000  0.374  0.126
Pt  0.500  0.200  0.055
Pt  0.500  0.800  0.945
Pt  0.500  0.055  0.800
Pt  0.500  0.700  0.445
Pt  0.500  0.945  0.200
Pt  0.500  0.300  0.555
Pt  0.500  0.555  0.700
Pt  0.500  0.445  0.300
Pt  0.500  0.500  0.000
Pt  0.500  0.000  0.500

> Which formula does entry 6 have?

Pr2ZnPd2Pt5